1.
# Y2AgW

A geometry-optimized Y2AgW structure (PBEsol, the Alexandria database).

## Properties
The total moment is 0.00 μB/f.u. Its formation energy is 0.584 eV per atom. The space group is F-43m, No. 216.

Cell: 4.8857 4.8857 4.8857 Å, 60.00 60.00 60.00°
Last column: nearest neighbours and their distance in Å.
Element x y z (fractional)
Y: 0.0000 0.0000 0.0000  4 Ag 2.99, 4 Y 2.99
Y: 0.2500 0.2500 0.2500  4 W 2.99, 4 Y 2.99
Ag: 0.7500 0.7500 0.7500  4 W 2.99, 4 Y 2.99
W: 0.5000 0.5000 0.5000  4 Ag 2.99, 4 Y 2.99

2.
# YAgW2

A geometry-optimized YAgW2 structure (PBEsol, the Alexandria database).

## Properties
The total moment is 0.00 μB/f.u. Its formation energy is 0.441 eV per atom. The space group is Pm, No. 6. As for the offset from the most stable computed form: 0 meV/atom.

Cell: 2.8528 4.2734 6.1316 Å, 90.00 99.12 90.00°
Last column: nearest neighbours and their distance in Å.
Element x y z (fractional)
Y: 0.0000 0.0000 0.0000  2 Y 2.85, 4 W 2.96-3.18, 4 Ag 3.02-3.04
Ag: 0.5828 0.5000 0.2650  5 W 2.81-3.04, 2 Ag 2.85, 4 Y 3.02-3.04
W: 0.1530 0.0000 0.5246  4 W 2.57-2.85
W: 0.5060 0.5000 0.7169  4 W 2.57-2.85, 1 Ag 2.81

3.
# ZnAg2W

A geometry-optimized ZnAg2W structure (PBEsol, the Alexandria database).

## Properties
The total moment is 0.01 μB/f.u. Its formation energy is 0.615 eV per atom. The space group is P4/mmm, No. 123.

Cell: 4.8395 4.8395 2.7186 Å, 90.00 90.00 90.00°
Last column: nearest neighbours and their distance in Å.
Element x y z (fractional)
Zn: 0.0000 0.0000 0.0000  2 Zn 2.72, 8 Ag 2.78
Ag: 0.0000 0.5000 0.5000  2 Ag 2.72, 4 W 2.78, 4 Zn 2.78
Ag: 0.5000 0.0000 0.5000  2 Ag 2.72, 4 W 2.78, 4 Zn 2.78
W: 0.5000 0.5000 0.0000  2 W 2.72, 8 Ag 2.78

4.
# ZnAgW3

A geometry-optimized ZnAgW3 structure (PBEsol, the Alexandria database).

## Properties
The total moment is 0.00 μB/f.u. Its formation energy is 2.079 eV per atom. The space group is Pm-3m, No. 221.

Cell: 4.4932 4.4932 4.4932 Å, 90.00 90.00 90.00°
Last column: nearest neighbours and their distance in Å.
Element x y z (fractional)
Zn: 0.0000 0.0000 0.0000  6 W 2.25
Ag: 0.5000 0.5000 0.5000  12 W 3.18
W: 0.0000 0.0000 0.5000  2 Zn 2.25
W: 0.0000 0.5000 0.0000  2 Zn 2.25
W: 0.5000 0.0000 0.0000  2 Zn 2.25

5.
# Zn2AgW

A geometry-optimized Zn2AgW structure (PBEsol, the Alexandria database).

## Properties
The total moment is 0.92 μB/f.u. Its formation energy is 0.537 eV per atom. The space group is Fm-3m, No. 225. As for the offset from the most stable computed form: 275 meV/atom.

Cell: 4.3681 4.3681 4.3681 Å, 60.00 60.00 60.00°
Last column: nearest neighbours and their distance in Å.
Element x y z (fractional)
Zn: 0.2500 0.2500 0.2500  4 W 2.67, 4 Ag 2.67
Zn: 0.7500 0.7500 0.7500  4 W 2.67, 4 Ag 2.67
Ag: 0.0000 0.0000 0.0000  8 Zn 2.67
W: 0.5000 0.5000 0.5000  8 Zn 2.67

6.
# Zn2AgW

A geometry-optimized Zn2AgW structure (PBEsol, the Alexandria database).

## Properties
The total moment is 0.00 μB/f.u. Its formation energy is 0.287 eV per atom. The space group is Pmmm, No. 47. As for the offset from the most stable computed form: 25 meV/atom.

Cell: 2.7365 3.4990 6.1388 Å, 90.00 90.00 90.00°
Last column: nearest neighbours and their distance in Å.
Element x y z (fractional)
Zn: 0.0000 0.0000 0.2497  4 Ag 2.70, 4 W 2.70, 2 Zn 2.74
Zn: 0.0000 0.0000 0.7503  4 Ag 2.70, 4 W 2.70, 2 Zn 2.74
Ag: 0.5000 0.5000 0.0000  8 Zn 2.70, 2 Ag 2.74
W: 0.5000 0.5000 0.5000  8 Zn 2.70, 2 W 2.74

7.
# Zn2AgW

A geometry-optimized Zn2AgW structure (PBEsol, the Alexandria database).

## Properties
The total moment is 1.50 μB/f.u. Its formation energy is 0.663 eV per atom. The space group is F-43m, No. 216. As for the offset from the most stable computed form: 401 meV/atom.

Cell: 4.4026 4.4026 4.4026 Å, 60.00 60.00 60.00°
Last column: nearest neighbours and their distance in Å.
Element x y z (fractional)
Zn: 0.0000 0.0000 0.0000  4 W 2.70, 4 Zn 2.70
Zn: 0.2500 0.2500 0.2500  4 Zn 2.70, 4 Ag 2.70
Ag: 0.5000 0.5000 0.5000  4 W 2.70, 4 Zn 2.70
W: 0.7500 0.7500 0.7500  4 Ag 2.70, 4 Zn 2.70

8.
# Zn2AgW

A geometry-optimized Zn2AgW structure (PBEsol, the Alexandria database).

## Properties
The total moment is 0.00 μB/f.u. Its formation energy is 0.465 eV per atom. The space group is Pmmm, No. 47. As for the offset from the most stable computed form: 203 meV/atom.

Cell: 2.8158 4.4925 4.7883 Å, 90.00 90.00 90.00°
Last column: nearest neighbours and their distance in Å.
Element x y z (fractional)
Zn: 0.0000 0.0000 0.0000  4 W 2.65, 6 Zn 2.78-2.82
Zn: 0.5000 0.0000 0.5000  4 Ag 2.65, 6 Zn 2.78-2.82
Ag: 0.0000 0.5000 0.5000  4 Zn 2.65, 4 W 2.78, 2 Ag 2.82
W: 0.5000 0.5000 0.0000  4 Zn 2.65, 4 Ag 2.78, 2 W 2.82